# AuBr2

A crystal of AuBr2 relaxed with PBEsol (SCAN, the Alexandria database).

Cell: 5.907 5.907 5.907 Å, 60.00 60.00 60.00°
Positions (direct):
Au1 0.500 0.500 0.500
Au2 0.750 0.750 0.750
Br1 0.125 0.125 0.125
Br2 0.125 0.125 0.625
Br3 0.125 0.625 0.125
Br4 0.625 0.125 0.125

Results
DOS at the Fermi energy   0.41 states/eV/atom
Total energy   -104.8 eV per formula unit
Formation energy from raw total energies   1106 meV/atom
Symmetry   Fd-3m